Record 1
VASP calculation (PBE) on crystalline Pb2Cl at its relaxed geometry.

```
Pb2Cl
1.0
3.487 0.000 0.000
0.000 21.681 0.000
0.000 0.000 5.036
Pb Cl
8 4
Cartesian
0.000 1.910 1.259
0.000 6.075 3.777
0.000 15.607 1.259
0.000 19.771 3.777
1.744 4.766 1.259
1.744 8.931 3.777
1.744 12.750 1.259
1.744 16.915 3.777
0.000 9.425 1.259
0.000 12.256 3.777
1.744 1.415 3.777
1.744 20.266 1.259
```

Magnetization (μB/cell): 0.00
Symmetry: Cmcm, No. 63
E above lowest polymorph (meV per atom): 0
DFT total energy (eV per atom): -3.478
Formation energy (no corrections) (eV per atom): -0.390

Record 2
VASP calculation (PBE) on crystalline Pb3Cl2 at its relaxed geometry.

```
Pb3Cl2
1.0
3.921 0.000 0.000
-1.961 3.396 0.000
0.000 0.000 40.092
Pb Cl
9 6
Cartesian
0.000 0.000 0.000
0.000 0.000 7.929
0.000 0.000 32.163
0.000 2.264 18.799
0.000 2.264 26.728
0.000 2.264 34.656
1.961 1.132 5.435
1.961 1.132 13.364
1.961 1.132 21.293
0.000 0.000 15.152
0.000 0.000 24.940
0.000 2.264 1.788
0.000 2.264 11.576
1.961 1.132 28.515
1.961 1.132 38.304
```

Magnetization (μB/cell): 0.00
Symmetry: R-3m, No. 166
E above lowest polymorph (meV per atom): 0
DFT total energy (eV per atom): -3.458
Formation energy (no corrections) (eV per atom): -0.494

Record 3
VASP calculation (PBE) on crystalline PbCl3 at its relaxed geometry.

```
PbCl3
1.0
6.345 0.000 0.000
-3.173 5.495 0.000
0.000 0.000 5.645
Pb Cl
2 6
Cartesian
0.000 3.663 1.411
3.173 1.832 4.234
0.000 1.902 4.234
-1.525 4.544 4.234
1.647 0.951 1.411
1.525 4.544 4.234
4.698 0.951 1.411
3.173 3.593 1.411
```

Magnetization (μB/cell): 2.05
Symmetry: P6_3/mmc, No. 194
DFT total energy (eV per atom): -2.806
Formation energy (no corrections) (eV per atom): -0.494

Record 4
VASP calculation (PBE) on crystalline Pb5Cl4 at its relaxed geometry.

```
Pb5Cl4
1.0
-6.174 6.174 1.815
6.174 -6.174 1.815
6.174 6.174 -1.815
Pb Cl
5 4
Cartesian
0.000 0.000 0.000
4.116 4.116 0.000
2.058 -2.058 1.815
-2.058 2.058 1.815
2.058 2.058 1.815
3.533 0.000 0.000
8.815 0.000 0.000
0.000 3.533 0.000
0.000 8.815 0.000
```

Magnetization (μB/cell): 0.00
Symmetry: I4/mmm, No. 139
E above lowest polymorph (meV per atom): 0
DFT total energy (eV per atom): -3.399
Formation energy (no corrections) (eV per atom): -0.519

Record 5
VASP calculation (PBE) on crystalline Pb2Cl at its relaxed geometry.

```
Pb2Cl
1.0
12.822 0.000 0.000
0.000 3.474 0.000
-1.946 0.000 7.950
Pb Cl
8 4
Cartesian
0.000 0.000 0.000
-0.962 0.000 3.982
0.657 1.737 6.563
3.816 0.000 1.407
6.411 1.737 0.000
5.449 1.737 3.982
7.068 0.000 6.563
10.227 1.737 1.407
1.176 1.737 2.475
3.300 0.000 5.474
7.587 0.000 2.475
9.712 1.737 5.474
```

Magnetization (μB/cell): 0.00
Symmetry: Cm, No. 8
E above lowest polymorph (meV per atom): 8
DFT total energy (eV per atom): -3.470
Formation energy (no corrections) (eV per atom): -0.382

Record 6
VASP calculation (PBE) on crystalline PbCl3 at its relaxed geometry.

```
PbCl3
1.0
5.494 0.000 0.000
0.000 9.466 0.000
0.000 0.000 4.515
Pb Cl
2 6
Cartesian
0.000 0.000 0.000
2.747 4.733 0.000
0.000 2.080 2.257
0.000 4.733 0.000
0.000 7.386 2.257
2.747 0.000 0.000
2.747 2.653 2.257
2.747 6.813 2.257
```

Magnetization (μB/cell): 0.00
Symmetry: Cmmm, No. 65
DFT total energy (eV per atom): -2.957
Formation energy (no corrections) (eV per atom): -0.645

Record 7
VASP calculation (PBE) on crystalline Pb2Cl at its relaxed geometry.

```
Pb2Cl
1.0
3.532 0.000 0.000
0.000 3.532 0.000
0.000 0.000 13.872
Pb Cl
4 2
Cartesian
0.000 0.000 2.226
0.000 0.000 11.646
1.766 1.766 4.710
1.766 1.766 9.162
0.000 0.000 6.936
1.766 1.766 0.000
```

Magnetization (μB/cell): 0.00
Symmetry: I4/mmm, No. 139
E above lowest polymorph (meV per atom): 74
DFT total energy (eV per atom): -3.404
Formation energy (no corrections) (eV per atom): -0.317

Record 8
VASP calculation (PBE) on crystalline PbCl3 at its relaxed geometry.

```
PbCl3
1.0
5.388 0.000 0.000
0.000 5.388 0.000
0.000 0.000 5.388
Pb Cl
1 3
Cartesian
0.000 0.000 0.000
0.000 0.000 2.694
0.000 2.694 0.000
2.694 0.000 0.000
```

Magnetization (μB/cell): 0.00
Symmetry: Pm-3m, No. 221
DFT total energy (eV per atom): -3.033
Formation energy (no corrections) (eV per atom): -0.721

Question: Which of these has the highest formation energy (no corrections)?
Answer: number 7

Repeat the second record exactly.
VASP calculation (PBE) on crystalline Pb3Cl2 at its relaxed geometry.

```
Pb3Cl2
1.0
3.921 0.000 0.000
-1.961 3.396 0.000
0.000 0.000 40.092
Pb Cl
9 6
Cartesian
0.000 0.000 0.000
0.000 0.000 7.929
0.000 0.000 32.163
0.000 2.264 18.799
0.000 2.264 26.728
0.000 2.264 34.656
1.961 1.132 5.435
1.961 1.132 13.364
1.961 1.132 21.293
0.000 0.000 15.152
0.000 0.000 24.940
0.000 2.264 1.788
0.000 2.264 11.576
1.961 1.132 28.515
1.961 1.132 38.304
```

Magnetization (μB/cell): 0.00
Symmetry: R-3m, No. 166
E above lowest polymorph (meV per atom): 0
DFT total energy (eV per atom): -3.458
Formation energy (no corrections) (eV per atom): -0.494

Question: Which formula does entry 4 have?
Answer: Pb5Cl4

Repeat the fourth record exactly.
VASP calculation (PBE) on crystalline Pb5Cl4 at its relaxed geometry.

```
Pb5Cl4
1.0
-6.174 6.174 1.815
6.174 -6.174 1.815
6.174 6.174 -1.815
Pb Cl
5 4
Cartesian
0.000 0.000 0.000
4.116 4.116 0.000
2.058 -2.058 1.815
-2.058 2.058 1.815
2.058 2.058 1.815
3.533 0.000 0.000
8.815 0.000 0.000
0.000 3.533 0.000
0.000 8.815 0.000
```

Magnetization (μB/cell): 0.00
Symmetry: I4/mmm, No. 139
E above lowest polymorph (meV per atom): 0
DFT total energy (eV per atom): -3.399
Formation energy (no corrections) (eV per atom): -0.519